# 1
DFT (PBE-GGA) results for a relaxed SmTm2MgPd4 crystal.

Geometry as extended XYZ:
```
8
Lattice="-3.9620 -2.7890 0.0969 0.0130 -4.3061 -2.2232 1.2850 -5.8270 6.0117" Properties=species:S:1:pos:R:3 pbc="T T T"
Tm -0.6220 -3.2891 1.0851
Tm -2.0421 -9.6330 2.8003
Pd -2.9711 -8.3966 0.4002
Pd -2.2642 -5.2205 -0.4656
Pd 0.3070 -4.5254 3.4851
Pd -0.3999 -7.7016 4.3509
Mg -1.3320 -6.4610 1.9427
Sm 0.0000 0.0000 0.0000
```

Properties
- calculated density (kg/m³) = 9581
- V (Å³ per cell) = 162.6
- DFT total energy (eV/atom) = -5.340
- formation energy from the elements (meV/atom) = -836

---

# 2
DFT (PBE-GGA) results for a relaxed SmMg2ZnPd4 crystal.

Geometry as extended XYZ:
```
8
Lattice="-4.2276 0.5954 1.5494 -3.4004 -2.5150 -1.6552 -1.2455 -6.1054 5.6044" Properties=species:S:1:pos:R:3 pbc="T T T"
Mg -6.6917 -5.8646 3.9649
Mg -2.1818 -2.1604 1.5337
Pd -4.0192 -5.7717 4.5645
Pd -1.7415 -4.0157 3.4481
Pd -4.8543 -2.2533 0.9341
Pd -7.1321 -4.0093 2.0505
Sm 0.0000 0.0000 0.0000
Zn -4.4368 -4.0125 2.7493
```

Properties
- calculated density (kg/m³) = 8058
- V (Å³ per cell) = 142.2
- DFT total energy (eV/atom) = -4.415
- formation energy from the elements (meV/atom) = -671

---

# 3
DFT (PBE-GGA) results for a relaxed Sm2MgZn3Pd4 crystal.

Geometry as extended XYZ:
```
10
Lattice="-2.4729 3.2018 -0.9748 0.6221 -0.7512 -4.0454 -8.8259 -6.8430 -0.0866" Properties=species:S:1:pos:R:3 pbc="T T T"
Zn -0.8423 -1.2698 -2.0340
Zn -8.9090 -4.3479 -0.5627
Zn -4.4129 -3.4215 -0.0433
Pd -6.9363 -2.8184 -0.5433
Pd -2.8149 -2.7992 -2.0534
Pd 0.0000 0.0000 0.0000
Pd -0.9254 1.2253 -2.5101
Sm -6.4317 -5.6034 -2.0889
Sm -3.3196 -0.0143 -0.5078
Mg -5.3383 -2.1962 -2.5534
```

Properties
- calculated density (kg/m³) = 8131
- V (Å³ per cell) = 193.4
- DFT total energy (eV/atom) = -4.179
- formation energy from the elements (meV/atom) = -617

---

# 4
DFT (PBE-GGA) results for a relaxed SmMgZn2Pd4 crystal.

Geometry as extended XYZ:
```
8
Lattice="-1.6620 -2.2744 -3.4350 2.3073 -0.3104 -3.7834 3.7890 -7.6000 0.3263" Properties=species:S:1:pos:R:3 pbc="T T T"
Pd 3.3522 -7.2324 -2.5783
Pd 2.0000 -5.1389 -6.1827
Pd 2.4344 -5.0458 -0.7094
Pd 1.0821 -2.9524 -4.3138
Sm 0.0000 0.0000 0.0000
Mg 2.2172 -5.0924 -3.4461
Zn 1.2001 -2.7188 -1.6531
Zn 3.2342 -7.4660 -5.2391
```

Properties
- calculated density (kg/m³) = 8768
- V (Å³ per cell) = 138.5
- DFT total energy (eV/atom) = -4.359
- formation energy from the elements (meV/atom) = -655

---

# 5
DFT (PBE-GGA) results for a relaxed Mg2SnPd5 crystal.

Geometry as extended XYZ:
```
16
Lattice="-4.0882 -0.4145 0.8776 -0.4549 -3.9258 -3.9737 2.3862 -7.7997 7.4323" Properties=species:S:1:pos:R:3 pbc="T T T"
Mg -2.0799 -4.5231 -1.7663
Mg -0.0771 -7.6168 6.1025
Mg -1.3329 -4.2582 1.8385
Mg -0.8240 -7.8818 2.4976
Pd 0.5794 -2.2410 1.6406
Pd 1.6034 -7.6001 3.8797
Pd 0.9656 -5.8627 1.7293
Pd -0.6725 -5.7817 4.1957
Pd 0.0000 0.0000 0.0000
Pd 0.3279 -4.1253 -0.4211
Pd 1.3519 -9.4845 1.8180
Pd -1.4845 -6.3583 0.1405
Pd -1.9097 -2.2621 0.0945
Pd -0.2473 -9.8778 4.2416
Sn -0.2275 -1.9629 -1.9869
Sn 1.1931 -3.8998 3.7162
```

Properties
- calculated density (kg/m³) = 8939
- V (Å³ per cell) = 259.9
- DFT total energy (eV/atom) = -4.822
- formation energy from the elements (meV/atom) = -677

---

# 6
DFT (PBE-GGA) results for a relaxed Mg3SnPd crystal.

Geometry as extended XYZ:
```
5
Lattice="-1.7079 4.6304 0.6814 -2.0018 -1.3784 4.3491 4.2306 1.2171 2.3329" Properties=species:S:1:pos:R:3 pbc="T T T"
Pd 0.0000 0.0000 0.0000
Mg -0.8539 2.3152 0.3407
Mg -1.0009 -0.6892 2.1746
Mg 2.1153 0.6085 1.1665
Sn 0.2605 2.2346 3.6818
```

Properties
- calculated density (kg/m³) = 4002
- V (Å³ per cell) = 123.7
- DFT total energy (eV/atom) = -2.936
- formation energy from the elements (meV/atom) = -140

---

# 7
DFT (PBE-GGA) results for a relaxed MgSn2Pd4 crystal.

Geometry as extended XYZ:
```
7
Lattice="-0.4218 0.8239 -4.5205 3.5138 -2.8674 -0.8505 -2.8365 -6.2318 -3.2261" Properties=species:S:1:pos:R:3 pbc="T T T"
Sn -0.1825 -5.9363 -5.7749
Sn 0.4380 -2.3390 -2.8222
Pd -1.2212 -4.3114 -3.0268
Pd 1.4766 -3.9639 -5.5703
Pd -0.2109 0.4119 -2.2603
Pd 1.7569 -1.4337 -0.4252
Mg 0.0000 0.0000 0.0000
```

Properties
- calculated density (kg/m³) = 7850
- V (Å³ per cell) = 145.4
- DFT total energy (eV/atom) = -4.326
- formation energy from the elements (meV/atom) = 13

---

# 8
DFT (PBE-GGA) results for a relaxed MgSnPd2 crystal.

Geometry as extended XYZ:
```
4
Lattice="-2.7005 1.8628 0.3792 -1.8972 -2.5996 -0.7410 -0.2318 -1.5981 6.1999" Properties=species:S:1:pos:R:3 pbc="T T T"
Pd -0.0565 -0.3896 1.5116
Pd -0.1753 -1.2085 4.6883
Sn -2.4148 -1.1675 2.9190
Mg -2.2989 -0.3684 -0.1809
```

Properties
- calculated density (kg/m³) = 8457
- V (Å³ per cell) = 69.9
- DFT total energy (eV/atom) = -4.582
- formation energy from the elements (meV/atom) = -586